A plane-wave DFT calculation with PBE+U was carried out for a relaxed structure of Tl2VBiO6.

Cell and atoms, written as POSCAR:
```
Tl2VBiO6
1.0
6.316 0.000 0.000
-3.158 5.470 0.000
0.000 0.000 5.911
Tl V Bi O
2 1 1 6
Direct
0.333 0.667 0.051 Tl
0.667 0.333 0.949 Tl
0.000 0.000 0.000 V
0.000 0.000 0.500 Bi
0.139 0.278 0.200 O
0.139 0.861 0.200 O
0.278 0.139 0.800 O
0.722 0.861 0.200 O
0.861 0.139 0.800 O
0.861 0.722 0.800 O
```

Results
* electronic total energy: -5.562 eV per atom

=====

A plane-wave DFT calculation with PBE+U was carried out for a relaxed structure of TlVBiO4.

Cell and atoms, written as POSCAR:
```
TlVBiO4
1.0
5.683 0.000 0.000
0.000 6.058 0.000
-1.847 0.000 7.842
Tl V Bi O
2 2 2 8
Direct
0.248 0.250 0.045 Tl
0.752 0.750 0.955 Tl
0.491 0.250 0.694 V
0.509 0.750 0.306 V
0.098 0.750 0.560 Bi
0.902 0.250 0.440 Bi
0.196 0.750 0.309 O
0.314 0.250 0.486 O
0.405 0.020 0.794 O
0.405 0.480 0.794 O
0.595 0.520 0.206 O
0.595 0.980 0.206 O
0.686 0.750 0.514 O
0.804 0.250 0.691 O
```

Results
* electronic total energy: -6.141 eV per atom

=====

Number 1: Fermi-level density of states 4.27 states/eV/f.u., size of the total moment 0.000 μB/atom. Number 2: Fermi-level density of states 1.13 states/eV/f.u., size of the total moment 0.000 μB/atom.